# 1
VASP calculation (GGA-PBE) on a geometry-optimized Mg2CoBi structure.

```
16
Lattice="6.696 0.000 0.000 0.000 6.696 0.000 0.000 0.000 6.696" Properties=species:S:1:pos:R:3 pbc="T T T"
Mg 0.000 0.000 0.000
Mg 0.000 3.348 3.348
Mg 1.674 1.674 1.674
Mg 1.674 5.022 5.022
Mg 3.348 0.000 3.348
Mg 3.348 3.348 0.000
Mg 5.022 1.674 5.022
Mg 5.022 5.022 1.674
Co 1.674 1.674 5.022
Co 1.674 5.022 1.674
Co 5.022 1.674 1.674
Co 5.022 5.022 5.022
Bi 0.000 0.000 3.348
Bi 0.000 3.348 0.000
Bi 3.348 0.000 0.000
Bi 3.348 3.348 3.348
```

Symmetry = F-43m, No. 216

# 2
VASP calculation (GGA-PBE) on a geometry-optimized NdAgGeSeS2 structure.

```
12
Lattice="1.984 -6.463 0.000 1.984 6.463 0.000 0.000 0.000 11.053" Properties=species:S:1:pos:R:3 pbc="T T T"
Nd 0.000 0.000 0.000
Nd 0.000 0.000 5.526
Ag 1.984 0.280 8.290
Ag 1.984 -0.280 2.763
Ge 1.984 3.593 2.763
Ge 1.984 -3.593 8.290
Se 1.984 4.943 8.290
Se 1.984 -4.943 2.763
S 1.984 1.852 6.354
S 1.984 1.852 10.225
S 1.984 -1.852 0.827
S 1.984 -1.852 4.699
```

Symmetry = Cmcm, No. 63

# 3
VASP calculation (GGA-PBE) on a geometry-optimized DyErCu2 structure.

```
8
Lattice="5.329 0.000 0.000 0.000 4.457 0.000 -0.003 0.000 7.063" Properties=species:S:1:pos:R:3 pbc="T T T"
Dy 0.715 1.114 1.285
Dy 4.610 3.343 5.779
Er 1.947 1.114 4.815
Er 3.379 3.343 2.248
Cu 0.676 3.343 3.301
Cu 1.984 3.343 6.832
Cu 3.341 1.114 0.231
Cu 4.649 1.114 3.762
```

Excess energy over the best structure of this formula in the dataset = 0.0 meV per atom
Symmetry = P2_1/m, No. 11

Number 1: calculated total energy -3.3295 eV per atom, size of the total moment 0.00 μB/cell, ρ 7.0 g/cm3. Number 2: calculated total energy -4.7728 eV per atom, size of the total moment 0.00 μB/cell, ρ 5.5 g/cm3. Number 3: calculated total energy -4.4198 eV per atom, size of the total moment 0.01 μB/cell, ρ 9.0 g/cm3.